## A
This record from Alexandria describes crystalline TlRh2Pb2 at its relaxed geometry. The functional is PBE.

The space group is P4/mbm (No. 127) and the conventional cell measures 8.375, 8.375 and 3.117 Å, with angles of 90.00, 90.00 and 90.00 degrees. Symmetry generates all atoms from Tl at (0.000, 0.000, 0.000), Rh at (0.142, 0.358, 0.500) and Pb at (0.149, 0.649, 0.000).

Its spin magnetization is 0.000 μB/f.u.

## B
This record from Alexandria describes crystalline TlRh2Pb2 at its relaxed geometry. The functional is PBE.

The space group is I4/mmm (No. 139) and the conventional cell measures 4.704, 4.704 and 11.019 Å, with angles of 90.00, 90.00 and 90.00 degrees. Symmetry generates all atoms from Tl at (0.000, 0.000, 0.000), Rh at (0.000, 0.000, 0.386) and Pb at (0.000, 0.500, 0.250).

Its spin magnetization is 0.000 μB/f.u.

## C
This record from Alexandria describes crystalline TlRh2Pb2 at its relaxed geometry. The functional is PBE.

The space group is P-1 (No. 2) and the conventional cell measures 3.351, 5.310 and 7.340 Å, with angles of 108.87, 90.06 and 108.33 degrees. Symmetry generates all atoms from Tl at (0.000, 0.000, 0.000), Rh at (0.465, 0.930, 0.686) and Pb at (0.179, 0.358, 0.653).

Its spin magnetization is 0.000 μB/f.u.

## D
This record from Alexandria describes crystalline TlRh2Pb2 at its relaxed geometry. The functional is PBE.

The space group is P4/mbm (No. 127) and the conventional cell measures 7.829, 7.829 and 3.481 Å, with angles of 90.00, 90.00 and 90.00 degrees. Symmetry generates all atoms from Tl at (0.000, 0.000, 0.000), Rh at (0.142, 0.358, 0.000) and Pb at (0.152, 0.652, 0.500).

Its spin magnetization is 0.000 μB/f.u.

Which is most stable, and by how much? C, by 6.6 kJ/mol of atoms.

## A
This record from Alexandria describes crystalline TlRh2Pb at its relaxed geometry. The functional is PBE.

The space group is P4/mmm (No. 123) and the conventional cell measures 4.825, 4.825 and 3.220 Å, with angles of 90.00, 90.00 and 90.00 degrees. Symmetry generates all atoms from Tl at (0.000, 0.000, 0.000), Rh at (0.000, 0.500, 0.500) and Pb at (0.500, 0.500, 0.000).

Its spin magnetization is 0.000 μB/f.u.

## B
This record from Alexandria describes crystalline TlRh2Pb at its relaxed geometry. The functional is PBE.

The space group is F-43m (No. 216) and the conventional cell measures 6.802, 6.802 and 6.802 Å, with angles of 90.00, 90.00 and 90.00 degrees. Symmetry generates all atoms from Tl at (0.000, 0.000, 0.000), Rh at (0.000, 0.000, 0.500), Rh at (0.250, 0.250, 0.750) and Pb at (0.250, 0.250, 0.250).

Its spin magnetization is 0.000 μB/f.u.

Which is most stable, and by how much? A, by 26.3 kJ/mol of atoms.

## A
This record from Alexandria describes crystalline TlRh2Pb at its relaxed geometry. The functional is PBE.

The space group is Pmmm (No. 47) and the conventional cell measures 3.229, 3.613 and 6.426 Å, with angles of 90.00, 90.00 and 90.00 degrees. Symmetry generates all atoms from Tl at (0.000, 0.000, 0.000), Rh at (0.500, 0.500, 0.250) and Pb at (0.000, 0.000, 0.500).

Its spin magnetization is 0.000 μB/f.u.

## B
This record from Alexandria describes crystalline TlRh2Pb at its relaxed geometry. The functional is PBE.

The space group is C2/m (No. 12) and the conventional cell measures 8.212, 3.395 and 5.846 Å, with angles of 90.00, 103.81 and 90.00 degrees. Symmetry generates all atoms from Tl at (0.000, 0.000, 0.000), Rh at (0.249, 0.000, 0.744) and Pb at (0.000, 0.500, 0.500).

Its spin magnetization is 0.000 μB/f.u.

## C
This record from Alexandria describes crystalline TlRh2Pb at its relaxed geometry. The functional is PBE.

The space group is R3m (No. 160, hexagonal axes) and the conventional cell measures 4.1031, 4.1031 and 17.4391 Å, with angles of 90.00, 90.00 and 120.00 degrees. Symmetry generates all atoms from Tl at (0.0000, 0.0000, 0.0000), Rh at (0.0000, 0.0000, 0.2386), Rh at (0.0000, 0.0000, 0.4172) and Pb at (0.0000, 0.0000, 0.8238).

Its spin magnetization is 0.000 μB/f.u.

Which is most stable, and by how much? A, by 4.9 kJ/mol of atoms.

## A
This record from Alexandria describes crystalline TlRh2Pb at its relaxed geometry. The functional is PBE.

The space group is Fm-3m (No. 225) and the conventional cell measures 6.690, 6.690 and 6.690 Å, with angles of 90.00, 90.00 and 90.00 degrees. Symmetry generates all atoms from Tl at (0.000, 0.000, 0.000), Rh at (0.250, 0.250, 0.250) and Pb at (0.000, 0.000, 0.500).

Its spin magnetization is 0.000 μB/f.u.

## B
This record from Alexandria describes crystalline TlRh2Pb at its relaxed geometry. The functional is PBE.

The space group is R-3m (No. 166, hexagonal axes) and the conventional cell measures 3.3897, 3.3897 and 23.8836 Å, with angles of 90.00, 90.00 and 120.00 degrees. Symmetry generates all atoms from Tl at (0.0000, 0.0000, 0.0000), Rh at (0.0000, 0.0000, 0.2490) and Pb at (0.0000, 0.0000, 0.5000).

Its spin magnetization is 0.000 μB/f.u.

## C
This record from Alexandria describes crystalline TlRh2Pb at its relaxed geometry. The functional is PBE.

The space group is I-4m2 (No. 119) and the conventional cell measures 3.899, 3.899 and 10.176 Å, with angles of 90.00, 90.00 and 90.00 degrees. Symmetry generates all atoms from Tl at (0.000, 0.000, 0.000), Rh at (0.000, 0.000, 0.500), Rh at (0.000, 0.500, 0.250) and Pb at (0.000, 0.500, 0.750).

Its spin magnetization is 0.000 μB/f.u.

Which is most stable, and by how much? A, by 4.0 kJ/mol of atoms.

## A
This record from Alexandria describes crystalline TlRh2Pb at its relaxed geometry. The functional is PBE.

The space group is Cmmm (No. 65) and the conventional cell measures 6.430, 7.220 and 3.231 Å, with angles of 90.00, 90.00 and 90.00 degrees. Symmetry generates all atoms from Tl at (0.000, 0.000, 0.000), Rh at (0.250, 0.250, 0.500) and Pb at (0.000, 0.500, 0.000).

Its spin magnetization is 0.000 μB/f.u.

## B
This record from Alexandria describes crystalline TlRh2Pb at its relaxed geometry. The functional is PBE.

The space group is Pmm2 (No. 25) and the conventional cell measures 3.228, 4.427 and 5.565 Å, with angles of 90.00, 90.00 and 90.00 degrees. Symmetry generates all atoms from Tl at (0.000, 0.000, 0.000), Rh at (0.000, 0.000, 0.513), Rh at (0.500, 0.500, 0.905) and Pb at (0.500, 0.500, 0.411).

Its spin magnetization is 0.000 μB/f.u.

## C
This record from Alexandria describes crystalline TlRh2Pb at its relaxed geometry. The functional is PBE.

The space group is Cm (No. 8) and the conventional cell measures 10.415, 3.274 and 4.595 Å, with angles of 90.00, 100.32 and 90.00 degrees. Symmetry generates all atoms from Tl at (0.000, 0.000, 0.000), Rh at (0.020, 0.500, 0.503), Rh at (0.234, 0.500, 0.058) and Pb at (0.254, 0.000, 0.562).

Its spin magnetization is 0.000 μB/f.u.

## D
This record from Alexandria describes crystalline TlRh2Pb at its relaxed geometry. The functional is PBE.

The space group is I-42d (No. 122) and the conventional cell measures 4.370, 4.370 and 18.194 Å, with angles of 90.00, 90.00 and 90.00 degrees. Symmetry generates all atoms from Tl at (0.000, 0.000, 0.000), Rh at (0.234, 0.250, 0.125) and Pb at (0.000, 0.000, 0.500).

Its spin magnetization is 0.000 μB/f.u.

Which is most stable, and by how much? C, by 0.9 kJ/mol of atoms.

## A
This record from Alexandria describes crystalline Tm3RhPb2 at its relaxed geometry. The functional is PBE.

The space group is Pnma (No. 62) and the conventional cell measures 12.439, 4.357 and 11.602 Å, with angles of 90.00, 90.00 and 90.00 degrees. Symmetry generates all atoms from Tm at (0.054, 0.250, 0.132), Tm at (0.120, 0.750, 0.539), Tm at (0.249, 0.750, 0.285), Rh at (0.125, 0.250, 0.367), Pb at (0.015, 0.250, 0.695) and Pb at (0.183, 0.750, 0.997).

Its spin magnetization is 0.000 μB/f.u.

## B
This record from Alexandria describes crystalline Tm3RhPb2 at its relaxed geometry. The functional is PBE.

The space group is C2/c (No. 15) and the conventional cell measures 14.745, 6.185 and 7.008 Å, with angles of 90.00, 105.12 and 90.00 degrees. Symmetry generates all atoms from Tm at (0.000, 0.175, 0.250), Tm at (0.149, 0.429, 0.607), Rh at (0.000, 0.366, 0.750) and Pb at (0.163, 0.078, 0.034).

Its spin magnetization is 0.000 μB/f.u.

Which is most stable, and by how much? A, by 10.0 kJ/mol of atoms.

## A
This record from Alexandria describes crystalline Tm3RhPb at its relaxed geometry. The functional is PBE.

The space group is Fmmm (No. 69) and the conventional cell measures 6.446, 9.800 and 16.564 Å, with angles of 90.00, 90.00 and 90.00 degrees. Symmetry generates all atoms from Tm at (0.000, 0.000, 0.195), Tm at (0.000, 0.179, 0.379), Rh at (0.250, 0.250, 0.250) and Pb at (0.225, 0.000, 0.000).

Its spin magnetization is 0.000 μB/f.u.

## B
This record from Alexandria describes crystalline Tm3RhPb at its relaxed geometry. The functional is PBE.

The space group is Pmmn (No. 59, origin choice 2) and the conventional cell measures 4.571, 6.725 and 8.657 Å, with angles of 90.00, 90.00 and 90.00 degrees. Symmetry generates all atoms from Tm at (0.250, 0.001, 0.155), Tm at (0.250, 0.750, 0.584), Rh at (0.250, 0.750, 0.900) and Pb at (0.250, 0.250, 0.651).

Its spin magnetization is 0.000 μB/f.u.

## C
This record from Alexandria describes crystalline Tm3RhPb at its relaxed geometry. The functional is PBE.

The space group is Pm-3m (No. 221) and the conventional cell measures 5.261, 5.261 and 5.261 Å, with angles of 90.00, 90.00 and 90.00 degrees. Symmetry generates all atoms from Tm at (0.000, 0.000, 0.500), Rh at (0.000, 0.000, 0.000) and Pb at (0.500, 0.500, 0.500).

Its spin magnetization is 0.000 μB/f.u.

Which is most stable, and by how much? B, by 5.0 kJ/mol of atoms.

## A
This record from Alexandria describes crystalline Tm4RhPb2 at its relaxed geometry. The functional is PBE.

The space group is P2_1/m (No. 11) and the conventional cell measures 7.058, 6.555 and 8.455 Å, with angles of 90.00, 105.38 and 90.00 degrees. Symmetry generates all atoms from Tm at (0.137, 0.006, 0.298), Tm at (0.305, 0.250, 0.925), Tm at (0.311, 0.750, 0.668), Rh at (0.070, 0.250, 0.568), Pb at (0.196, 0.750, 0.990) and Pb at (0.468, 0.250, 0.609).

Its spin magnetization is 0.000 μB/f.u.

## B
This record from Alexandria describes crystalline Tm4RhPb2 at its relaxed geometry. The functional is PBE.

The space group is C2/m (No. 12) and the conventional cell measures 11.353, 4.564 and 8.603 Å, with angles of 90.00, 122.11 and 90.00 degrees. Symmetry generates all atoms from Tm at (0.063, 0.000, 0.348), Tm at (0.165, 0.500, 0.058), Rh at (0.000, 0.000, 0.000) and Pb at (0.159, 0.500, 0.667).

Its spin magnetization is 0.000 μB/f.u.

Which is most stable, and by how much? B, by 6.3 kJ/mol of atoms.